(1)
# TbPr2Sn3Pd3

TbPr2Sn3Pd3 after structural relaxation (GGA-PBE, the Open Quantum Materials Database).

theoretical density	8.905	g cm⁻³
final energy	-5.55	eV/atom
crystal system	orthorhombic

a = 4.1167 Å, b = 13.2196 Å, c = 7.6490 Å
α = 90.00°, β = 90.00°, γ = 90.00°
Space group Amm2 (No. 38)
Symmetry-distinct sites (fractional):
1 Tb 0.0000 0.0000 0.0000 [2 per cell]
2 Pr 0.0000 0.2058 0.6156 [4 per cell]
3 Sn 0.5000 0.0000 0.6636 [2 per cell]
4 Sn 0.5000 0.1254 0.2809 [4 per cell]
5 Pd 0.0000 0.0000 0.4044 [2 per cell]
6 Pd 0.5000 0.1618 0.9118 [4 per cell]

(2)
# Pr2NdTe3

Pr2NdTe3 after structural relaxation (GGA-PBE, the Open Quantum Materials Database).

theoretical density	6.874	g cm⁻³
final energy	-5.39	eV/atom
crystal system	trigonal

a = 4.5124 Å, b = 4.5124 Å, c = 11.0805 Å
α = 90.00°, β = 90.00°, γ = 120.00°
Space group P-3m1 (No. 164)
Symmetry-distinct sites (fractional):
1 Pr 0.3333 0.6667 0.1667 [2 per cell]
2 Nd 0.0000 0.0000 0.5000 [1 per cell]
3 Te 0.0000 0.0000 0.0000 [1 per cell]
4 Te 0.3333 0.6667 0.6648 [2 per cell]